The following is a DFT calculation (GGA-PBE) of Tb2Ga9Hg after structural relaxation.

```
Tb2Ga9Hg
1.0
4.2618 0.0000 0.0000
0.0000 4.2618 0.0000
0.0000 0.0000 13.2960
Tb Ga Hg
2 9 1
Direct
0.0000 0.0000 0.1608
0.0000 0.0000 0.8392
0.0000 0.5000 0.0000
0.0000 0.5000 0.3311
0.0000 0.5000 0.6689
0.5000 0.0000 0.0000
0.5000 0.0000 0.3311
0.5000 0.0000 0.6689
0.5000 0.5000 0.1564
0.5000 0.5000 0.5000
0.5000 0.5000 0.8436
0.0000 0.0000 0.5000
```

Results
The value obtained for the total DFT energy (no corrections) is -40.23 eV per cell. Its calculated density is 7.88 g/cm³. As for the crystal system: tetragonal. The space-group type is No. 123. Its density of states at the Fermi level is 5.84 states/eV/cell. Its calculated formation energy is -0.286 eV/atom.